1 | The following is a DFT calculation (PBE) of crystalline AgPbSO at its relaxed geometry.

Cell: 6.493 7.253 13.977 Å, 90.00 90.00 90.00°
Space group Pbca (No. 61)
Unique sites:
Ag1 0.159 0.154 0.114 [8 per cell]
Pb1 0.132 0.172 0.830 [8 per cell]
S1 0.146 0.062 0.506 [8 per cell]
O1 0.099 0.666 0.265 [8 per cell]

=====

2 | The following is a DFT calculation (PBE) of crystalline AgPbSO at its relaxed geometry.

Cell: 3.815 3.815 11.844 Å, 90.00 90.00 90.00°
Space group P4/nmm (No. 129, origin choice 2)
Unique sites:
Ag1 0.250 0.250 0.103 [2 per cell]
Pb1 0.250 0.250 0.608 [2 per cell]
S1 0.250 0.250 0.881 [2 per cell]
O1 0.250 0.750 0.500 [2 per cell]

=====

Each structure's energy above the most stable one, in eV/atom: 1 0.000; 2 0.035.

=====

1 | The following is a DFT calculation (PBE) of crystalline Cu2Ag3 at its relaxed geometry.

Cell: 15.504 2.844 7.216 Å, 90.00 102.93 90.00°
Space group C2/m (No. 12)
Unique sites:
Cu1 0.120 0.000 0.091 [4 per cell]
Cu2 0.208 0.500 0.362 [4 per cell]
Ag1 0.008 0.500 0.801 [4 per cell]
Ag2 0.096 0.000 0.522 [4 per cell]
Ag3 0.197 0.500 0.844 [4 per cell]

=====

2 | The following is a DFT calculation (PBE) of crystalline Cu2Ag3 at its relaxed geometry.

Cell: 8.944 3.965 8.778 Å, 90.00 91.68 90.00°
Space group Cm (No. 8)
Unique sites:
Cu1 0.000 0.000 0.000 [2 per cell]
Cu2 0.016 0.500 0.526 [2 per cell]
Cu3 0.212 0.500 0.911 [2 per cell]
Cu4 0.428 0.000 0.819 [2 per cell]
Ag1 0.105 0.500 0.200 [2 per cell]
Ag2 0.122 0.000 0.728 [2 per cell]
Ag3 0.212 0.000 0.419 [2 per cell]
Ag4 0.304 0.000 0.092 [2 per cell]
Ag5 0.324 0.500 0.627 [2 per cell]
Ag6 0.413 0.500 0.314 [2 per cell]

=====

3 | The following is a DFT calculation (PBE) of crystalline Cu2Ag3 at its relaxed geometry.

Cell: 2.8521 2.8521 66.6625 Å, 90.00 90.00 120.00°
Space group R3m (No. 160, hexagonal axes)
Unique sites:
Cu1 0.0000 0.0000 0.0000 [3 per cell]
Cu2 0.0000 0.0000 0.1028 [3 per cell]
Cu3 0.0000 0.0000 0.3049 [3 per cell]
Cu4 0.0000 0.0000 0.5008 [3 per cell]
Ag1 0.0000 0.0000 0.1995 [3 per cell]
Ag2 0.0000 0.0000 0.4036 [3 per cell]
Ag3 0.0000 0.0000 0.6057 [3 per cell]
Ag4 0.0000 0.0000 0.6996 [3 per cell]
Ag5 0.0000 0.0000 0.8019 [3 per cell]
Ag6 0.0000 0.0000 0.9025 [3 per cell]

=====

4 | The following is a DFT calculation (PBE) of crystalline Cu2Ag3 at its relaxed geometry.

Cell: 4.861 2.835 11.438 Å, 90.00 97.83 90.00°
Space group P2_1/m (No. 11)
Unique sites:
Cu1 0.049 0.250 0.406 [2 per cell]
Cu2 0.245 0.250 0.002 [2 per cell]
Ag1 0.146 0.750 0.198 [2 per cell]
Ag2 0.351 0.750 0.810 [2 per cell]
Ag3 0.441 0.250 0.600 [2 per cell]

=====

Each structure's energy above the most stable one, in eV/atom: 1 0.000; 2 0.009; 3 0.018; 4 0.028.

=====

1 | The following is a DFT calculation (PBE) of crystalline Cu2Ag3 at its relaxed geometry.

Cell: 6.832 2.846 8.295 Å, 90.00 104.73 90.00°
Space group P2_1/m (No. 11)
Unique sites:
Cu1 0.061 0.250 0.129 [2 per cell]
Cu2 0.346 0.750 0.052 [2 per cell]
Ag1 0.149 0.750 0.440 [2 per cell]
Ag2 0.239 0.250 0.774 [2 per cell]
Ag3 0.453 0.250 0.336 [2 per cell]

=====

2 | The following is a DFT calculation (PBE) of crystalline Cu2Ag3 at its relaxed geometry.

Cell: 4.802 2.835 11.445 Å, 90.00 95.81 90.00°
Space group Pm (No. 6)
Unique sites:
Cu1 0.000 0.000 0.000 [1 per cell]
Cu2 0.108 0.500 0.816 [1 per cell]
Cu3 0.219 0.000 0.628 [1 per cell]
Cu4 0.424 0.000 0.221 [1 per cell]
Ag1 0.312 0.500 0.423 [1 per cell]
Ag2 0.484 0.500 0.024 [1 per cell]
Ag3 0.604 0.000 0.819 [1 per cell]
Ag4 0.730 0.500 0.618 [1 per cell]
Ag5 0.813 0.000 0.408 [1 per cell]
Ag6 0.936 0.500 0.200 [1 per cell]

=====

3 | The following is a DFT calculation (PBE) of crystalline Cu2Ag3 at its relaxed geometry.

Cell: 14.317 3.915 5.654 Å, 90.00 101.02 90.00°
Space group C2/m (No. 12)
Unique sites:
Cu1 0.108 0.000 0.314 [4 per cell]
Cu2 0.203 0.500 0.590 [4 per cell]
Ag1 0.000 0.500 0.000 [2 per cell]
Ag2 0.000 0.500 0.500 [2 per cell]
Ag3 0.102 0.000 0.793 [4 per cell]
Ag4 0.200 0.500 0.116 [4 per cell]

=====

Each structure's energy above the most stable one, in eV/atom: 1 0.000; 2 0.016; 3 0.010.

=====

1 | The following is a DFT calculation (PBE) of crystalline Cu2Ag3 at its relaxed geometry.

Cell: 6.889 2.854 8.089 Å, 90.00 102.30 90.00°
Space group P2/m (No. 10)
Unique sites:
Cu1 0.000 0.000 0.000 [1 per cell]
Cu2 0.080 0.500 0.282 [2 per cell]
Cu3 0.500 0.500 0.500 [1 per cell]
Ag1 0.201 0.000 0.578 [2 per cell]
Ag2 0.293 0.500 0.899 [2 per cell]
Ag3 0.386 0.000 0.216 [2 per cell]

=====

2 | The following is a DFT calculation (PBE) of crystalline Cu2Ag3 at its relaxed geometry.

Cell: 14.299 3.957 5.619 Å, 90.00 102.53 90.00°
Space group C2/m (No. 12)
Unique sites:
Cu1 0.102 0.000 0.300 [4 per cell]
Cu2 0.198 0.500 0.105 [4 per cell]
Ag1 0.000 0.500 0.000 [2 per cell]
Ag2 0.000 0.500 0.500 [2 per cell]
Ag3 0.106 0.000 0.815 [4 per cell]
Ag4 0.204 0.500 0.607 [4 per cell]

=====

Each structure's energy above the most stable one, in eV/atom: 1 0.000; 2 0.012.

=====

1 | The following is a DFT calculation (PBE) of crystalline Cu2Ag3 at its relaxed geometry.

Cell: 9.496 2.870 11.523 Å, 90.00 98.49 90.00°
Space group Cm (No. 8)
Unique sites:
Cu1 0.000 0.000 0.000 [2 per cell]
Cu2 0.013 0.500 0.511 [2 per cell]
Cu3 0.101 0.000 0.689 [2 per cell]
Cu4 0.173 0.000 0.404 [2 per cell]
Ag1 0.091 0.500 0.204 [2 per cell]
Ag2 0.191 0.500 0.893 [2 per cell]
Ag3 0.302 0.500 0.587 [2 per cell]
Ag4 0.303 0.000 0.099 [2 per cell]
Ag5 0.384 0.500 0.324 [2 per cell]
Ag6 0.405 0.000 0.797 [2 per cell]

=====

2 | The following is a DFT calculation (PBE) of crystalline Cu2Ag3 at its relaxed geometry.

Cell: 4.795 2.853 11.447 Å, 90.00 95.72 90.00°
Space group P2/m (No. 10)
Unique sites:
Cu1 0.099 0.000 0.296 [2 per cell]
Cu2 0.301 0.000 0.904 [2 per cell]
Ag1 0.000 0.500 0.500 [1 per cell]
Ag2 0.198 0.500 0.099 [2 per cell]
Ag3 0.393 0.500 0.709 [2 per cell]
Ag4 0.500 0.000 0.500 [1 per cell]

=====

Each structure's energy above the most stable one, in eV/atom: 1 0.000; 2 0.015.

=====

1 | The following is a DFT calculation (PBE) of crystalline Cu2Ag3 at its relaxed geometry.

Cell: 9.428 2.866 11.636 Å, 90.00 98.90 90.00°
Space group Cm (No. 8)
Unique sites:
Cu1 0.000 0.000 0.000 [2 per cell]
Cu2 0.066 0.000 0.716 [2 per cell]
Cu3 0.182 0.000 0.420 [2 per cell]
Cu4 0.407 0.000 0.821 [2 per cell]
Ag1 0.090 0.500 0.210 [2 per cell]
Ag2 0.197 0.500 0.894 [2 per cell]
Ag3 0.273 0.500 0.632 [2 per cell]
Ag4 0.299 0.000 0.099 [2 per cell]
Ag5 0.379 0.500 0.318 [2 per cell]
Ag6 0.483 0.000 0.521 [2 per cell]

=====

2 | The following is a DFT calculation (PBE) of crystalline Cu2Ag3 at its relaxed geometry.

Cell: 4.804 2.841 11.428 Å, 90.00 95.67 90.00°
Space group P2_1/m (No. 11)
Unique sites:
Cu1 0.051 0.250 0.409 [2 per cell]
Cu2 0.350 0.750 0.798 [2 per cell]
Ag1 0.143 0.750 0.211 [2 per cell]
Ag2 0.252 0.250 0.997 [2 per cell]
Ag3 0.434 0.250 0.602 [2 per cell]

=====

Each structure's energy above the most stable one, in eV/atom: 1 0.000; 2 0.006.

=====

1 | The following is a DFT calculation (PBE) of crystalline LiNiMoAu at its relaxed geometry.

Computed properties:
spin magnetization	0.00	μB per cell

Cell: 5.990 5.990 5.990 Å, 90.00 90.00 90.00°
Space group F-43m (No. 216)
Unique sites:
Li1 0.000 0.000 0.000 [4 per cell]
Ni1 0.000 0.000 0.500 [4 per cell]
Mo1 0.250 0.250 0.750 [4 per cell]
Au1 0.250 0.250 0.250 [4 per cell]

=====

2 | The following is a DFT calculation (PBE) of crystalline LiNiMoAu at its relaxed geometry.

Computed properties:
spin magnetization	0.00	μB per cell

Cell: 6.137 6.137 6.137 Å, 90.00 90.00 90.00°
Space group F-43m (No. 216)
Unique sites:
Li1 0.000 0.000 0.000 [4 per cell]
Ni1 0.250 0.250 0.250 [4 per cell]
Mo1 0.000 0.000 0.500 [4 per cell]
Au1 0.250 0.250 0.750 [4 per cell]

=====

Each structure's energy above the most stable one, in eV/atom: 1 0.000; 2 0.082.